P) CrAg2Pt, optimized geometry, DFT GGA-PBE; total moment = 4.0 μB per cell
1.0
-4.640 -1.544 0.150
0.030 -0.363 -2.820
1.533 -4.565 0.414
Ag Cr Pt
2 1 1
Cartesian
0.031 -0.366 -2.814
0.780 -2.462 -1.209
-1.929 -2.004 -0.526
-1.148 -4.468 -1.729



Q) CrAg2Pt, optimized geometry, DFT GGA-PBE; total moment = 3.9 μB per cell
1.0
-0.410 -2.109 1.915
2.544 0.600 1.205
-3.598 5.232 4.991
Ag Cr Pt
2 1 1
Cartesian
-0.009 0.014 0.013
-1.790 2.602 2.482
0.167 0.554 2.808
-1.632 3.170 5.303



The structures above, arranged from the most stable to the least stable: P), Q).